The following is a DFT calculation (PBE) of a geometry-optimized PrTh3Al8 structure.

The structure belongs to space group R3m (No. 160, hexagonal axes); the cell edges are 5.7134, 5.7134 and 27.8747 Å and the angles 90.00°, 90.00° and 120.00°. Symmetry generates all atoms from Pr at (0.0000, 0.0000, 0.0000), Th at (0.0000, 0.0000, 0.1254), Th at (0.0000, 0.0000, 0.5001), Th at (0.0000, 0.0000, 0.6250), Al at (0.0000, 0.0000, 0.3126), Al at (0.0000, 0.0000, 0.8124), Al at (0.9995, 0.4998, 0.0631) and Al at (0.1672, 0.3345, 0.8956).

Its total magnetization is 0.0 μB per cell. For the total energy, the calculation gives -0.3803 Ry/atom. As for the energy relative to the elements: -9.81 kcal/mol of atoms.

The following is a DFT calculation (PBE) of a geometry-optimized ScReOs2 structure.

The structure belongs to space group P4mm (No. 99); the cell edges are 2.782, 2.782 and 8.204 Å and the angles 90.00°, 90.00° and 90.00°. Symmetry generates all atoms from Sc at (0.000, 0.000, 0.000), Re at (0.500, 0.500, 0.723), Os at (0.000, 0.000, 0.487) and Os at (0.500, 0.500, 0.268).

Its total magnetization is 0.0 μB per cell. For the total energy, the calculation gives -0.7531 Ry/atom. As for the energy relative to the elements: 1.46 kcal/mol of atoms.

The following is a DFT calculation (PBE) of a geometry-optimized LiErTl2 structure.

The structure belongs to space group Fm-3m (No. 225); the cell edges are 7.295, 7.295 and 7.295 Å and the angles 90.00°, 90.00° and 90.00°. Symmetry generates all atoms from Li at (0.000, 0.000, 0.000), Er at (0.000, 0.000, 0.500) and Tl at (0.250, 0.250, 0.250).

Its total magnetization is 0.0 μB per cell. The calculation puts the distance to the lowest polymorph of the same formula at 2 meV/atom. For the total energy, the calculation gives -0.2279 Ry/atom. As for the energy relative to the elements: -6.89 kcal/mol of atoms.

- energy relative to the elements of number 1 (PrTh3Al8)?
  -9.81 kcal/mol of atoms